## CaPuPbAu (GGA-PBE)

Data for an optimized crystal structure of CaPuPbAu.

Cell: 3.609 3.609 8.186 Å, 90.00 90.00 90.00°
Site moments in Bohr magnetons follow the coordinates.
Atoms (fractional coordinates):
Au 0.500 0.500 0.606  0.03
Pb 0.500 0.500 0.107  -0.02
Ca 0.000 0.000 0.382  0.00
Pu 0.000 0.000 0.832  5.47

Computed properties:
The electronic total energy is -6.3059 eV/atom. The value obtained for the formation energy is -0.476 eV/atom. The calculation puts the energy above the most stable polymorph in this dataset at 0 meV/atom. As for the symmetry: P4mm, No. 99.